Sm6Dy4Y | PBE | optimized geometry

## Properties
The calculation puts the energy above the lowest structure with this stoichiometry at 264.4 meV per atom.

abc: 7.5478 7.5478 8.6045
angles: 116.01 116.01 90.00
Atoms (fractional coordinates):
Sm  0.9187  0.4574  0.3761
Sm  0.4574  0.9187  0.3761
Sm  0.5426  0.5426  0.6239
Sm  0.0000  0.5000  0.0000
Sm  0.0813  0.0813  0.6239
Sm  0.5000  0.0000  0.0000
Dy  0.0860  0.7553  0.8413
Dy  0.9140  0.9140  0.1587
Dy  0.7553  0.0860  0.8413
Dy  0.2447  0.2447  0.1587
Y  0.5000  0.5000  0.0000

=====

SmDy5Y6 | PBE | optimized geometry

## Properties
The calculation puts the energy above the lowest structure with this stoichiometry at 2.3 meV per atom.

abc: 6.1666 7.9745 7.9745
angles: 84.20 97.49 97.49
Atoms (fractional coordinates):
Y  0.7502  0.9165  0.5828
Y  0.2498  0.4172  0.0835
Y  0.2507  0.7497  0.7497
Y  0.7493  0.2503  0.2503
Y  0.7502  0.5828  0.9165
Y  0.2498  0.0835  0.4172
Sm  0.0000  0.0000  0.0000
Dy  0.5000  0.8325  0.1675
Dy  0.0000  0.6662  0.3338
Dy  0.5000  0.5000  0.5000
Dy  0.0000  0.3338  0.6662
Dy  0.5000  0.1675  0.8325

=====

Sm3Dy4Y | PBE | optimized geometry

## Properties
The calculation puts the energy above the lowest structure with this stoichiometry at 0.0 meV per atom.

abc: 6.3125 7.3095 11.4069
angles: 90.00 90.00 90.00
Atoms (fractional coordinates):
Sm  0.6479  0.6273  0.0000
Sm  0.9822  0.6264  0.2503
Sm  0.4822  0.3736  0.2497
Sm  0.1479  0.3727  0.5000
Sm  0.4822  0.3736  0.7503
Sm  0.9822  0.6264  0.7497
Dy  0.1481  0.8765  0.0000
Dy  0.6479  0.1225  0.0000
Dy  0.9799  0.1228  0.2493
Dy  0.4799  0.8772  0.2507
Dy  0.1479  0.8775  0.5000
Dy  0.6481  0.1235  0.5000
Dy  0.4799  0.8772  0.7493
Dy  0.9799  0.1228  0.7507
Y  0.1471  0.3727  0.0000
Y  0.6471  0.6273  0.5000

=====

SmDy2Y | PBE | optimized geometry

## Properties
The calculation puts the energy above the lowest structure with this stoichiometry at 5.9 meV per atom.

abc: 3.5722 3.5722 11.8240
angles: 81.31 81.31 60.00
Atoms (fractional coordinates):
Y  0.5000  0.5000  0.5000
Sm  0.0000  0.0000  0.0000
Dy  0.7505  0.7505  0.7485
Dy  0.2495  0.2495  0.2515

=====

Sm4Dy6Y | PBE | optimized geometry

abc: 9.7508 9.7508 9.7508
angles: 57.32 140.35 140.35
Atoms (fractional coordinates):
Sm  0.0000  0.6357  0.0129
Sm  0.3772  0.3643  0.3643
Sm  0.0000  0.0129  0.6357
Sm  0.6228  0.9871  0.9871
Dy  0.0000  0.8057  0.4492
Dy  0.0000  0.4492  0.8057
Dy  0.3565  0.5508  0.5508
Dy  0.5000  0.5000  0.0000
Dy  0.6435  0.1943  0.1943
Dy  0.5000  0.0000  0.5000
Y  0.0000  0.0000  0.0000

=====

Sm4Dy2Y5 | PBE | optimized geometry

## Properties
The calculation puts the energy above the lowest structure with this stoichiometry at 100.2 meV per atom.

abc: 3.4555 8.8519 14.5876
angles: 56.34 96.80 90.00
Atoms (fractional coordinates):
Sm  0.7162  0.3967  0.4324
Sm  0.9536  0.7328  0.9071
Sm  0.2838  0.6033  0.5676
Sm  0.0464  0.2672  0.0929
Dy  0.1358  0.8214  0.2715
Dy  0.8642  0.1786  0.7285
Y  0.1872  0.0973  0.3745
Y  0.8128  0.9027  0.6255
Y  0.0886  0.5589  0.1773
Y  0.5000  0.0000  0.0000
Y  0.9114  0.4411  0.8227

=====

Sm2Dy5Y5 | PBE | optimized geometry

abc: 5.0479 7.9791 11.2775
angles: 115.10 90.00 108.44
Atoms (fractional coordinates):
Sm  0.0830  0.1660  0.7504
Sm  0.9170  0.8340  0.2496
Dy  0.5000  0.0000  0.5000
Dy  0.6668  0.3337  0.0002
Dy  0.5832  0.1664  0.2500
Dy  0.4168  0.8336  0.7500
Dy  0.3332  0.6663  0.9998
Y  0.1663  0.3326  0.4997
Y  0.7506  0.5013  0.7510
Y  0.2494  0.4987  0.2490
Y  0.8337  0.6674  0.5003
Y  0.0000  0.0000  0.0000

=====

Sm3Dy5Y2 | PBE | optimized geometry

## Properties
The calculation puts the energy above the lowest structure with this stoichiometry at 67.9 meV per atom.

abc: 6.6824 11.0228 11.0228
angles: 61.85 72.36 72.36
Atoms (fractional coordinates):
Sm  0.2500  0.0000  0.0000
Sm  0.7500  0.0000  0.0000
Sm  0.3277  0.4595  0.8852
Sm  0.6723  0.5405  0.1148
Sm  0.8277  0.8852  0.4595
Sm  0.1723  0.1148  0.5405
Dy  0.2500  0.5000  0.5000
Dy  0.7500  0.5000  0.5000
Dy  0.4308  0.8192  0.8192
Dy  0.0692  0.1808  0.1808
Dy  0.5692  0.1808  0.1808
Dy  0.9308  0.8192  0.8192
Dy  0.1695  0.4229  0.2382
Dy  0.8305  0.5771  0.7618
Dy  0.6695  0.2382  0.4229
Dy  0.3305  0.7618  0.5771
Y  0.0301  0.7350  0.2049
Y  0.9699  0.2650  0.7951
Y  0.5301  0.2049  0.7350
Y  0.4699  0.7951  0.2650

=====

no.,formation enthalpy at 0 K (eV/atom),uncorrected energy (eV per cell)
1,0.383,-49.0
2,0.022,-66.2
3,0.017,-77.8
4,0.019,-20.3
5,0.304,-49.6
6,0.201,-58.2
7,0.020,-64.5
8,0.266,-94.9